! PBE-GGA In3SnIr, optimized geometry; values from VASP
! Calculated formation energy   -59 meV per atom
! Relative energy among the computed polymorphs   0.000 eV/atom
&SYSTEM
  ibrav = 0, nat = 10, ntyp = 3
/
ATOMIC_SPECIES
Sn 118.71 Sn.upf
In 114.82 In.upf
Ir 192.22 Ir.upf
CELL_PARAMETERS angstrom
-3.2565 0.3578 -6.0133
5.4823 -3.8322 -1.4668
-2.8419 -3.2233 5.5296
ATOMIC_POSITIONS crystal
Sn 0.2810 0.9383 0.2193
Sn 0.7190 0.0617 0.7807
In 0.1595 0.9600 0.7375
In 0.8405 0.0400 0.2625
In 0.2225 0.4220 0.2625
In 0.7201 0.4449 0.1650
In 0.2799 0.5551 0.8350
In 0.7775 0.5780 0.7375
Ir 0.6225 0.7575 0.3800
Ir 0.3775 0.2425 0.6200

! PBE-GGA Dy3V12W5, optimized geometry; values from VASP
! Calculated formation energy   1147 meV per atom
&SYSTEM
  ibrav = 0, nat = 80, ntyp = 3
/
ATOMIC_SPECIES
V 50.94 V.upf
Dy 162.50 Dy.upf
W 183.84 W.upf
CELL_PARAMETERS angstrom
13.3436 0.0000 0.0000
-4.4479 12.5804 0.0000
-4.4479 -6.2902 10.8950
ATOMIC_POSITIONS crystal
V 0.2213 0.1606 0.6252
V 0.9394 0.7787 0.4039
V 0.0606 0.2213 0.5961
V 0.8394 0.7787 0.8748
V 0.9039 0.4394 0.7787
V 0.1252 0.4039 0.4645
V 0.8748 0.2787 0.8394
V 0.0355 0.6606 0.9394
V 0.5961 0.8748 0.0355
V 0.1606 0.9394 0.5355
V 0.6606 0.6252 0.7213
V 0.3394 0.3748 0.2787
V 0.0961 0.5606 0.2213
V 0.7213 0.5961 0.5606
V 0.7787 0.9394 0.9039
V 0.0961 0.5355 0.3748
V 0.8394 0.0606 0.4645
V 0.3748 0.3394 0.7787
V 0.4394 0.9039 0.2787
V 0.1252 0.7213 0.1606
V 0.4645 0.9039 0.1252
V 0.6252 0.9645 0.9039
V 0.9645 0.6252 0.4039
V 0.8748 0.5961 0.5355
V 0.4039 0.1252 0.9645
V 0.5961 0.7213 0.0606
V 0.6252 0.6606 0.2213
V 0.5355 0.0961 0.8748
V 0.3394 0.9645 0.5606
V 0.5606 0.4645 0.3394
V 0.0355 0.3748 0.5961
V 0.4039 0.2787 0.9394
V 0.0606 0.8394 0.9645
V 0.2787 0.4039 0.4394
V 0.5355 0.4394 0.1606
V 0.9039 0.4645 0.6252
V 0.1606 0.2213 0.1252
V 0.5606 0.0961 0.7213
V 0.9645 0.3394 0.0606
V 0.9394 0.1606 0.0355
V 0.7787 0.8394 0.3748
V 0.4394 0.5355 0.6606
V 0.4645 0.5606 0.8394
V 0.6606 0.0355 0.4394
V 0.2787 0.8748 0.3394
V 0.3748 0.0355 0.0961
V 0.7213 0.1252 0.6606
V 0.2213 0.0606 0.0961
Dy 0.1250 0.8750 0.7500
Dy 0.8750 0.7500 0.1250
Dy 0.3750 0.7500 0.6250
Dy 0.7500 0.3750 0.1250
Dy 0.6250 0.2500 0.3750
Dy 0.7500 0.8750 0.6250
Dy 0.2500 0.6250 0.8750
Dy 0.3750 0.6250 0.2500
Dy 0.1250 0.2500 0.8750
Dy 0.6250 0.3750 0.7500
Dy 0.2500 0.1250 0.3750
Dy 0.8750 0.1250 0.2500
W 0.3750 0.2500 0.1250
W 0.6250 0.7500 0.8750
W 0.5000 0.0000 0.0000
W 0.8750 0.6250 0.7500
W 0.0000 0.5000 0.5000
W 0.5000 0.5000 0.0000
W 0.3750 0.1250 0.7500
W 0.1250 0.7500 0.3750
W 0.0000 0.5000 0.0000
W 0.5000 0.5000 0.5000
W 0.8750 0.2500 0.6250
W 0.7500 0.6250 0.3750
W 0.2500 0.3750 0.6250
W 0.7500 0.1250 0.8750
W 0.6250 0.8750 0.2500
W 0.0000 0.0000 0.0000
W 0.0000 0.0000 0.5000
W 0.1250 0.3750 0.2500
W 0.5000 0.0000 0.5000
W 0.2500 0.8750 0.1250

! PBE-GGA La2MoW, optimized geometry; values from VASP
! Calculated formation energy   494 meV per atom
! Relative energy among the computed polymorphs   0.203 eV/atom
&SYSTEM
  ibrav = 0, nat = 4, ntyp = 3
/
ATOMIC_SPECIES
W 183.84 W.upf
Mo 95.94 Mo.upf
La 138.91 La.upf
CELL_PARAMETERS angstrom
3.0915 -0.0006 0.0000
-1.2637 2.8215 0.0000
0.0000 0.0000 10.7916
ATOMIC_POSITIONS crystal
W 0.5000 0.5000 0.7122
Mo 0.0000 0.0000 0.5356
La 0.0000 0.0000 0.9544
La 0.5000 0.5000 0.2977

! PBE-GGA AcSbPtO, optimized geometry; values from VASP
! Formation energy (no corrections)   -1770 meV per atom
&SYSTEM
  ibrav = 0, nat = 8, ntyp = 4
/
ATOMIC_SPECIES
Pt 195.08 Pt.upf
Sb 121.76 Sb.upf
Ac 227.00 Ac.upf
O 16.00 O.upf
CELL_PARAMETERS angstrom
4.4248 0.0000 0.0000
2.2124 3.8320 0.0000
2.2124 1.2773 11.1005
ATOMIC_POSITIONS crystal
Pt 0.6195 0.6195 0.1415
Pt 0.3805 0.3805 0.8585
Sb 0.7036 0.7036 0.8893
Sb 0.2964 0.2964 0.1107
Ac 0.1203 0.1203 0.6392
Ac 0.8797 0.8797 0.3608
O 0.8065 0.8065 0.5806
O 0.1935 0.1935 0.4194

! PBE-GGA TmZnPb2, optimized geometry; values from VASP
! Calculated formation energy   160 meV per atom
! Relative energy among the computed polymorphs   0.363 eV/atom
&SYSTEM
  ibrav = 0, nat = 4, ntyp = 3
/
ATOMIC_SPECIES
Pb 207.20 Pb.upf
Tm 168.93 Tm.upf
Zn 65.41 Zn.upf
CELL_PARAMETERS angstrom
3.4960 0.0000 0.0000
1.7480 3.0276 0.0000
1.7480 1.0092 10.7341
ATOMIC_POSITIONS crystal
Pb 0.9036 0.9036 0.2893
Pb 0.0964 0.0964 0.7107
Tm 0.0000 0.0000 0.0000
Zn 0.5000 0.5000 0.5000

! PBE-GGA RuSe, optimized geometry; values from VASP
! Formation energy (no corrections)   82 meV per atom
&SYSTEM
  ibrav = 0, nat = 12, ntyp = 2
/
ATOMIC_SPECIES
Ru 101.07 Ru.upf
Se 78.96 Se.upf
CELL_PARAMETERS angstrom
-2.1417 1.3425 2.5941
3.0838 -2.4563 3.8171
7.3779 10.3801 0.7191
ATOMIC_POSITIONS crystal
Ru 0.5000 0.0540 0.3299
Ru 0.0000 0.9460 0.1701
Ru 0.5000 0.0540 0.6701
Ru 0.0000 0.4939 0.5000
Ru 0.0000 0.9460 0.8299
Ru 0.5000 0.5061 0.0000
Se 0.5000 0.2212 0.5000
Se 0.0000 0.7698 0.3511
Se 0.0000 0.7788 0.0000
Se 0.5000 0.2302 0.8511
Se 0.5000 0.2302 0.1489
Se 0.0000 0.7698 0.6489

! PBE-GGA ZnCd2Os, optimized geometry; values from VASP
! Calculated formation energy   376 meV per atom
&SYSTEM
  ibrav = 0, nat = 4, ntyp = 3
/
ATOMIC_SPECIES
Zn 65.41 Zn.upf
Cd 112.41 Cd.upf
Os 190.23 Os.upf
CELL_PARAMETERS angstrom
-3.6793 -2.1762 0.0842
0.5207 -0.7787 2.6273
-2.5365 4.4149 3.2641
ATOMIC_POSITIONS crystal
Zn 0.5000 0.9675 0.6989
Cd 0.5000 0.1824 0.2558
Cd 0.0000 0.8099 0.9968
Os 0.0000 0.5401 0.5484

! PBE-GGA DyHO, optimized geometry; values from VASP
! Relative energy among the computed polymorphs   0.062 eV/atom
&SYSTEM
  ibrav = 0, nat = 6, ntyp = 3
/
ATOMIC_SPECIES
O 16.00 O.upf
H 1.01 H.upf
Dy 162.50 Dy.upf
CELL_PARAMETERS angstrom
-0.8459 -2.4847 -2.6142
0.1819 -3.6214 0.7584
-6.3242 -1.9462 1.2714
ATOMIC_POSITIONS crystal
O 0.8846 0.8846 0.3461
O 0.1154 0.1154 0.6539
H 0.3589 0.3589 0.9234
H 0.6411 0.6411 0.0766
Dy 0.5000 0.5000 0.5000
Dy 0.0000 0.0000 0.0000